5
Lattice="5.5149 0.0000 0.0000 0.0000 5.5149 0.0000 0.0000 0.0000 3.8203" Properties=species:S:1:pos:R:3 comment="HfTe2PtN | Alexandria via LeMat-Bulk | SCAN | single point on PBEsol structure" final_energy_ev_per_fu=-214.59 space_group=P4/mmm density_g_cm3=9.2 pbc="T T T"
Hf 0.0000 0.0000 0.0000
Te 0.0000 2.7575 0.0000
Te 2.7575 0.0000 0.0000
Pt 2.7575 2.7575 1.9102
N 0.0000 0.0000 1.9102

5
Lattice="5.4306 0.0000 0.0000 0.0000 5.4306 0.0000 0.0000 0.0000 3.6511" Properties=species:S:1:pos:R:3 comment="HfTe2PtN | Alexandria via LeMat-Bulk | SCAN | single point on PBEsol structure" final_energy_ev_per_fu=-214.80 space_group=P4/mmm density_g_cm3=9.9 pbc="T T T"
Hf 0.0000 0.0000 0.0000
Te 0.0000 2.7153 1.8256
Te 2.7153 0.0000 1.8256
Pt 2.7153 2.7153 1.8256
N 2.7153 2.7153 0.0000

5
Lattice="4.1016 0.0000 0.0000 0.0000 4.1016 0.0000 0.0000 0.0000 5.5514" Properties=species:S:1:pos:R:3 comment="RbHfSeN2 | Alexandria via LeMat-Bulk | SCAN | single point on PBEsol structure" final_energy_ev_per_fu=-110.83 space_group=P4/mmm density_g_cm3=6.6 pbc="T T T"
Rb 0.0000 0.0000 0.0000
Hf 2.0508 2.0508 2.7757
Se 0.0000 0.0000 2.7757
N 0.0000 2.0508 0.0000
N 2.0508 0.0000 0.0000

5
Lattice="3.8362 0.0000 0.0000 0.0000 3.8362 0.0000 0.0000 0.0000 4.8187" Properties=species:S:1:pos:R:3 comment="RbHfSiN2 | Alexandria via LeMat-Bulk | SCAN | single point on PBEsol structure" final_energy_ev_per_fu=-102.12 space_group=P4/mmm density_g_cm3=7.5 pbc="T T T"
Rb 0.0000 0.0000 0.0000
Hf 1.9181 1.9181 0.0000
Si 0.0000 0.0000 2.4094
N 0.0000 1.9181 2.4094
N 1.9181 0.0000 2.4094

5
Lattice="5.3524 0.0000 0.0000 0.0000 5.3524 0.0000 0.0000 0.0000 3.6952" Properties=species:S:1:pos:R:3 comment="HfReTe2N | Alexandria via LeMat-Bulk | SCAN | single point on PBEsol structure" final_energy_ev_per_fu=-215.82 space_group=P4/mmm density_g_cm3=9.9 pbc="T T T"
Hf 0.0000 0.0000 0.0000
Re 2.6762 2.6762 1.8476
Te 0.0000 2.6762 1.8476
Te 2.6762 0.0000 1.8476
N 2.6762 2.6762 0.0000

5
Lattice="4.8547 0.0000 0.0000 0.0000 4.8547 0.0000 0.0000 0.0000 4.8547" Properties=species:S:1:pos:R:3 comment="Hf3RhN | Alexandria via LeMat-Bulk | SCAN | single point on PBEsol structure" final_energy_ev_per_fu=-225.34 space_group=Pm-3m density_g_cm3=9.5 pbc="T T T"
Hf 0.0000 0.0000 2.4274
Hf 0.0000 2.4274 0.0000
Hf 2.4274 0.0000 0.0000
Rh 0.0000 0.0000 0.0000
N 2.4274 2.4274 2.4274

5
Lattice="4.0956 0.0000 0.0000 0.0000 4.0956 0.0000 0.0000 0.0000 4.0956" Properties=species:S:1:pos:R:3 comment="HfS3N | Alexandria via LeMat-Bulk | SCAN | single point on PBEsol structure" final_energy_ev_per_fu=-99.03 space_group=Pm-3m density_g_cm3=7.0 pbc="T T T"
Hf 0.0000 0.0000 0.0000
S 0.0000 2.0478 2.0478
S 2.0478 0.0000 2.0478
S 2.0478 2.0478 0.0000
N 2.0478 2.0478 2.0478

5
Lattice="4.9171 0.0000 0.0000 0.0000 4.9171 0.0000 0.0000 0.0000 3.8655" Properties=species:S:1:pos:R:3 comment="HfSbS2N | Alexandria via LeMat-Bulk | SCAN | single point on PBEsol structure" final_energy_ev_per_fu=-125.28 space_group=P4/mmm density_g_cm3=6.7 pbc="T T T"
Hf 0.0000 0.0000 0.0000
Sb 2.4586 2.4586 1.9327
S 0.0000 2.4586 1.9327
S 2.4586 0.0000 1.9327
N 2.4586 2.4586 0.0000

5
Lattice="3.9907 0.0000 0.0000 0.0000 3.9907 0.0000 0.0000 0.0000 4.7997" Properties=species:S:1:pos:R:3 comment="HfSbSN2 | Alexandria via LeMat-Bulk | SCAN | single point on PBEsol structure" final_energy_ev_per_fu=-124.19 space_group=P4/mmm density_g_cm3=7.8 pbc="T T T"
Hf 0.0000 0.0000 0.0000
Sb 1.9953 1.9953 2.3999
S 1.9953 1.9953 0.0000
N 0.0000 1.9953 2.3999
N 1.9953 0.0000 2.3999

5
Lattice="5.1672 0.0000 0.0000 0.0000 5.1672 0.0000 0.0000 0.0000 3.9552" Properties=species:S:1:pos:R:3 comment="HfSe2SN | Alexandria via LeMat-Bulk | SCAN | single point on PBEsol structure" final_energy_ev_per_fu=-120.39 space_group=P4/mmm density_g_cm3=6.0 pbc="T T T"
Hf 0.0000 0.0000 0.0000
Se 0.0000 2.5836 0.0000
Se 2.5836 0.0000 0.0000
S 2.5836 2.5836 1.9776
N 0.0000 0.0000 1.9776

5
Lattice="4.9112 0.0000 0.0000 0.0000 4.9112 0.0000 0.0000 0.0000 3.8446" Properties=species:S:1:pos:R:3 comment="HfSnS2N | Alexandria via LeMat-Bulk | SCAN | single point on PBEsol structure" final_energy_ev_per_fu=-124.52 space_group=P4/mmm density_g_cm3=6.7 pbc="T T T"
Hf 0.0000 0.0000 0.0000
Sn 2.4556 2.4556 1.9223
S 0.0000 2.4556 1.9223
S 2.4556 0.0000 1.9223
N 2.4556 2.4556 0.0000

5
Lattice="3.7864 0.0000 0.0000 0.0000 3.7864 0.0000 0.0000 0.0000 4.6915" Properties=species:S:1:pos:R:3 comment="HfTcSN2 | Alexandria via LeMat-Bulk | SCAN | single point on PBEsol structure" final_energy_ev_per_fu=-125.43 space_group=P4/mmm density_g_cm3=8.3 pbc="T T T"
Hf 0.0000 0.0000 0.0000
Tc 1.8932 1.8932 2.3457
S 1.8932 1.8932 0.0000
N 0.0000 1.8932 2.3457
N 1.8932 0.0000 2.3457

5
Lattice="4.9076 0.0000 0.0000 0.0000 4.9076 0.0000 0.0000 0.0000 3.8478" Properties=species:S:1:pos:R:3 comment="HfWS2N | Alexandria via LeMat-Bulk | SCAN | single point on PBEsol structure" final_energy_ev_per_fu=-158.00 space_group=P4/mmm density_g_cm3=7.9 pbc="T T T"
Hf 0.0000 0.0000 0.0000
W 2.4538 2.4538 1.9239
S 0.0000 2.4538 0.0000
S 2.4538 0.0000 0.0000
N 0.0000 0.0000 1.9239

5
Lattice="4.0989 0.0000 0.0000 0.0000 4.0989 0.0000 0.0000 0.0000 4.9185" Properties=species:S:1:pos:R:3 comment="YHfSN2 | Alexandria via LeMat-Bulk | SCAN | single point on PBEsol structure" final_energy_ev_per_fu=-124.24 space_group=P4/mmm density_g_cm3=6.6 pbc="T T T"
Y 0.0000 0.0000 0.0000
Hf 2.0495 2.0495 2.4593
S 2.0495 2.0495 0.0000
N 0.0000 2.0495 2.4593
N 2.0495 0.0000 2.4593

5
Lattice="4.4640 0.0000 0.0000 0.0000 4.4640 0.0000 0.0000 0.0000 4.4640" Properties=species:S:1:pos:R:3 comment="Hf3ScN | Alexandria via LeMat-Bulk | SCAN | single point on PBEsol structure" final_energy_ev_per_fu=-215.38 space_group=Pm-3m density_g_cm3=11.1 pbc="T T T"
Hf 0.0000 0.0000 2.2320
Hf 0.0000 2.2320 0.0000
Hf 2.2320 0.0000 0.0000
Sc 2.2320 2.2320 2.2320
N 0.0000 0.0000 0.0000

5
Lattice="4.1255 0.0000 0.0000 0.0000 4.1255 0.0000 0.0000 0.0000 5.4003" Properties=species:S:1:pos:R:3 comment="HfSnSeN2 | Alexandria via LeMat-Bulk | SCAN | single point on PBEsol structure" final_energy_ev_per_fu=-137.30 space_group=P4/mmm density_g_cm3=7.3 pbc="T T T"
Hf 0.0000 0.0000 0.0000
Sn 2.0628 2.0628 2.7002
Se 0.0000 0.0000 2.7002
N 0.0000 2.0628 0.0000
N 2.0628 0.0000 0.0000

5
Lattice="5.4362 0.0000 0.0000 0.0000 5.4362 0.0000 0.0000 0.0000 4.1624" Properties=species:S:1:pos:R:3 comment="SrHfSe2N | Alexandria via LeMat-Bulk | SCAN | single point on PBEsol structure" final_energy_ev_per_fu=-130.20 space_group=P4/mmm density_g_cm3=5.9 pbc="T T T"
Sr 0.0000 0.0000 0.0000
Hf 2.7181 2.7181 2.0812
Se 0.0000 2.7181 0.0000
Se 2.7181 0.0000 0.0000
N 0.0000 0.0000 2.0812

5
Lattice="5.2488 0.0000 0.0000 0.0000 5.2488 0.0000 0.0000 0.0000 4.0960" Properties=species:S:1:pos:R:3 comment="SrHfSe2N | Alexandria via LeMat-Bulk | SCAN | single point on PBEsol structure" final_energy_ev_per_fu=-141.00 space_group=P4/mmm density_g_cm3=6.4 pbc="T T T"
Sr 0.0000 0.0000 0.0000
Hf 2.6244 2.6244 2.0480
Se 0.0000 2.6244 2.0480
Se 2.6244 0.0000 2.0480
N 2.6244 2.6244 0.0000

5
Lattice="4.1655 0.0000 0.0000 0.0000 4.1655 0.0000 0.0000 0.0000 5.2778" Properties=species:S:1:pos:R:3 comment="YHfSeN2 | Alexandria via LeMat-Bulk | SCAN | single point on PBEsol structure" final_energy_ev_per_fu=-127.01 space_group=P4/mmm density_g_cm3=6.8 pbc="T T T"
Y 0.0000 0.0000 0.0000
Hf 2.0827 2.0827 2.6389
Se 0.0000 0.0000 2.6389
N 0.0000 2.0827 0.0000
N 2.0827 0.0000 0.0000

5
Lattice="4.2106 0.0000 0.0000 0.0000 4.2106 0.0000 0.0000 0.0000 4.2106" Properties=species:S:1:pos:R:3 comment="SrHfN3 | Alexandria via LeMat-Bulk | SCAN | single point on PBEsol structure" final_energy_ev_per_fu=-116.22 space_group=Pm-3m density_g_cm3=6.9 pbc="T T T"
Sr 0.0000 0.0000 0.0000
Hf 2.1053 2.1053 2.1053
N 0.0000 2.1053 2.1053
N 2.1053 0.0000 2.1053
N 2.1053 2.1053 0.0000

5
Lattice="4.1521 0.0000 0.0000 0.0000 4.1521 0.0000 0.0000 0.0000 4.1521" Properties=species:S:1:pos:R:3 comment="SrHfN3 | Alexandria via LeMat-Bulk | SCAN | single point on PBEsol structure" final_energy_ev_per_fu=-104.13 space_group=Pm-3m density_g_cm3=7.1 pbc="T T T"
Sr 0.0000 0.0000 0.0000
Hf 2.0760 2.0760 2.0760
N 0.0000 0.0000 2.0760
N 0.0000 2.0760 0.0000
N 2.0760 0.0000 0.0000

5
Lattice="4.2443 0.0000 0.0000 0.0000 4.2443 0.0000 0.0000 0.0000 5.7228" Properties=species:S:1:pos:R:3 comment="SrHfTiN2 | Alexandria via LeMat-Bulk | SCAN | single point on PBEsol structure" final_energy_ev_per_fu=-114.51 space_group=P4/mmm density_g_cm3=5.5 pbc="T T T"
Sr 0.0000 0.0000 0.0000
Hf 0.0000 0.0000 2.8614
Ti 2.1222 2.1222 0.0000
N 0.0000 2.1222 2.8614
N 2.1222 0.0000 2.8614

5
Lattice="4.1093 0.0000 0.0000 0.0000 4.1093 0.0000 0.0000 0.0000 5.1724" Properties=species:S:1:pos:R:3 comment="HfTa2TeN | Alexandria via LeMat-Bulk | SCAN | single point on PBEsol structure" final_energy_ev_per_fu=-243.13 space_group=P4/mmm density_g_cm3=13.0 pbc="T T T"
Hf 0.0000 0.0000 0.0000
Ta 0.0000 2.0546 2.5862
Ta 2.0546 0.0000 2.5862
Te 2.0546 2.0546 0.0000
N 2.0546 2.0546 2.5862

5
Lattice="4.6819 0.0000 0.0000 0.0000 4.6819 0.0000 0.0000 0.0000 4.6819" Properties=species:S:1:pos:R:3 comment="HfTc3N | Alexandria via LeMat-Bulk | SCAN | single point on PBEsol structure" final_energy_ev_per_fu=-161.80 space_group=Pm-3m density_g_cm3=7.9 pbc="T T T"
Hf 0.0000 0.0000 0.0000
Tc 0.0000 0.0000 2.3410
Tc 0.0000 2.3410 0.0000
Tc 2.3410 0.0000 0.0000
N 2.3410 2.3410 2.3410

4
Lattice="1.5408 0.8896 6.2109 -1.5408 0.8896 6.2109 0.0000 -1.7791 6.2109" Properties=species:S:1:pos:R:3 comment="HfTcN2 | Alexandria via LeMat-Bulk | SCAN | single point on PBEsol structure" final_energy_ev_per_fu=-116.82 space_group=R-3m density_g_cm3=9.9 pbc="T T T"
Hf 0.0000 0.0000 0.0000
Tc 0.0000 0.0000 9.3163
N 0.0000 0.0000 2.0636
N 0.0000 0.0000 16.5691

5
Lattice="3.9069 0.0000 0.0000 0.0000 3.9069 0.0000 0.0000 0.0000 5.3291" Properties=species:S:1:pos:R:3 comment="HfTcTeN2 | Alexandria via LeMat-Bulk | SCAN | single point on PBEsol structure" final_energy_ev_per_fu=-150.55 space_group=P4/mmm density_g_cm3=8.8 pbc="T T T"
Hf 0.0000 0.0000 0.0000
Tc 1.9535 1.9535 2.6645
Te 1.9535 1.9535 0.0000
N 0.0000 1.9535 2.6645
N 1.9535 0.0000 2.6645

5
Lattice="4.1733 0.0000 0.0000 0.0000 4.1733 0.0000 0.0000 0.0000 5.9202" Properties=species:S:1:pos:R:3 comment="HfTe2N2 | Alexandria via LeMat-Bulk | SCAN | single point on PBEsol structure" final_energy_ev_per_fu=-154.01 space_group=P4/mmm density_g_cm3=7.4 pbc="T T T"
Hf 0.0000 0.0000 0.0000
Te 0.0000 0.0000 2.9601
Te 2.0866 2.0866 2.9601
N 0.0000 2.0866 0.0000
N 2.0866 0.0000 0.0000

8
Lattice="-2.9476 2.9476 5.6076 2.9476 -2.9476 5.6076 2.9476 2.9476 -5.6076" Properties=species:S:1:pos:R:3 comment="HfTe2N | Alexandria via LeMat-Bulk | SCAN | single point on PBEsol structure" final_energy_ev_per_fu=-143.61 space_group=I-42d density_g_cm3=7.6 pbc="T T T"
Hf 0.0000 0.0000 0.0000
Hf 0.0000 2.9476 2.8038
Te 1.4738 -1.0564 4.2057
Te 1.8912 1.4738 1.4019
Te 1.4738 4.0040 -1.4019
Te 1.0564 1.4738 7.0095
N 2.9476 0.0000 2.8038
N 0.0000 0.0000 5.6076

5
Lattice="-1.8709 1.8709 5.9183 1.8709 -1.8709 5.9183 1.8709 1.8709 -5.9183" Properties=species:S:1:pos:R:3 comment="Hf2TeN2 | Alexandria via LeMat-Bulk | SCAN | single point on PBEsol structure" final_energy_ev_per_fu=-188.98 space_group=I4/mmm density_g_cm3=10.3 pbc="T T T"
Hf 0.0000 0.0000 2.0111
Hf 0.0000 0.0000 9.8255
Te 0.0000 0.0000 5.9183
N 1.8709 0.0000 2.9592
N 0.0000 1.8709 2.9592